Record 1
Crystalline Tb6As2SeS3 at its relaxed geometry, computed with PBE.

## Properties
DOS at the Fermi energy, states/eV/f.u.: 4.1
Space group: C2/m, No. 12
Magnetic moment, μB per formula unit: 0.0
Electronic total energy, eV per atom: -6.25

a = 9.0061 Å, b = 9.0061 Å, c = 8.0518 Å
α = 102.67°, β = 102.67°, γ = 25.85°
Last column: nearest neighbours and their distance in Å.
Atoms (fractional coordinates):
1 Tb 0.0007 0.0007 0.2369  3 S 2.77-2.82, 1 As 2.85, 2 Se 2.93
2 Tb 0.3283 0.3283 0.4160  3 S 2.79-2.83, 2 As 2.85, 1 Se 2.94
3 Tb 0.3337 0.3337 0.9147  3 S 2.84-2.85, 3 As 2.87
4 Tb 0.6663 0.6663 0.0853  3 S 2.84-2.85, 3 As 2.87
5 Tb 0.6717 0.6717 0.5840  3 S 2.79-2.83, 2 As 2.85, 1 Se 2.94
6 Tb 0.9993 0.9993 0.7631  3 S 2.77-2.82, 1 As 2.85, 2 Se 2.93
7 As 0.1658 0.1658 0.8316  6 Tb 2.85-2.87
8 As 0.8342 0.8342 0.1684  6 Tb 2.85-2.87
9 Se 0.5000 0.5000 0.5000  6 Tb 2.93-2.94
10 S 0.1651 0.1651 0.3338  6 Tb 2.79-2.84
11 S 0.5000 0.5000 0.0000  6 Tb 2.77-2.85
12 S 0.8349 0.8349 0.6662  6 Tb 2.79-2.84

---

Record 2
Crystalline Tb8As4Se3S at its relaxed geometry, computed with PBE.

## Properties
DOS at the Fermi energy, states/eV/f.u.: 5.9
Space group: R-3m, No. 166
Magnetic moment, μB per formula unit: 0.0
Electronic total energy, eV per atom: -6.13

a = 8.2075 Å, b = 8.2075 Å, c = 8.2075 Å
α = 59.98°, β = 59.98°, γ = 59.98°
Last column: nearest neighbours and their distance in Å.
Atoms (fractional coordinates):
1 Tb 0.2427 0.7499 0.7499  3 As 2.86-2.90, 1 S 2.90, 2 Se 2.94
2 Tb 0.2462 0.2462 0.2462  3 As 2.86, 3 Se 2.95
3 Tb 0.2501 0.2501 0.7573  3 As 2.86-2.90, 1 S 2.90, 2 Se 2.94
4 Tb 0.2501 0.7573 0.2501  3 As 2.86-2.90, 1 S 2.90, 2 Se 2.94
5 Tb 0.7499 0.2427 0.7499  3 As 2.86-2.90, 1 S 2.90, 2 Se 2.94
6 Tb 0.7499 0.7499 0.2427  3 As 2.86-2.90, 1 S 2.90, 2 Se 2.94
7 Tb 0.7538 0.7538 0.7538  3 As 2.86, 3 Se 2.95
8 Tb 0.7573 0.2501 0.2501  3 As 2.86-2.90, 1 S 2.90, 2 Se 2.94
9 As 0.0000 0.0000 0.5000  6 Tb 2.86
10 As 0.0000 0.5000 0.0000  6 Tb 2.86
11 As 0.5000 0.0000 0.0000  6 Tb 2.86
12 As 0.5000 0.5000 0.5000  6 Tb 2.90
13 Se 0.0000 0.5000 0.5000  6 Tb 2.94-2.95
14 Se 0.5000 0.0000 0.5000  6 Tb 2.94-2.95
15 Se 0.5000 0.5000 0.0000  6 Tb 2.94-2.95
16 S 0.0000 0.0000 0.0000  6 Tb 2.90

---

Record 3
Crystalline TcAsSe2S at its relaxed geometry, computed with PBE.

## Properties
DOS at the Fermi energy, states/eV/f.u.: 5.4
Space group: P4/mmm, No. 123
Magnetic moment, μB per formula unit: 0.0
Electronic total energy, eV per atom: -4.63
ΔE to the lowest computed polymorph, eV/atom: 0.000

a = 4.7333 Å, b = 4.7333 Å, c = 5.0154 Å
α = 90.00°, β = 90.00°, γ = 90.00°
Last column: nearest neighbours and their distance in Å.
Atoms (fractional coordinates):
1 Tc 0.0000 0.0000 0.0000  4 Se 2.37, 2 As 2.51
2 As 0.0000 0.0000 0.5000  2 Tc 2.51
3 Se 0.0000 0.5000 0.0000  2 Tc 2.37
4 Se 0.5000 0.0000 0.0000  2 Tc 2.37
5 S 0.5000 0.5000 0.5000  4 As 3.35, 8 Se 3.45

---

Record 4
Crystalline TcAsSe2S at its relaxed geometry, computed with PBE.

## Properties
DOS at the Fermi energy, states/eV/f.u.: 6.0
Space group: P4/mmm, No. 123
Magnetic moment, μB per formula unit: 0.0
Electronic total energy, eV per atom: -4.04
ΔE to the lowest computed polymorph, eV/atom: 0.593

a = 4.6426 Å, b = 4.6426 Å, c = 4.6952 Å
α = 90.00°, β = 90.00°, γ = 90.00°
Last column: nearest neighbours and their distance in Å.
Atoms (fractional coordinates):
1 Tc 0.0000 0.0000 0.0000  4 As 3.28, 8 Se 3.30
2 As 0.5000 0.5000 0.0000  2 S 2.35
3 Se 0.0000 0.5000 0.5000  2 S 2.32
4 Se 0.5000 0.0000 0.5000  2 S 2.32
5 S 0.5000 0.5000 0.5000  4 Se 2.32, 2 As 2.35

---

Record 5
Crystalline TeAs2SeS at its relaxed geometry, computed with PBE.

## Properties
DOS at the Fermi energy, states/eV/f.u.: 4.4
Space group: P4/mmm, No. 123
Magnetic moment, μB per formula unit: 0.0
Electronic total energy, eV per atom: -3.38
ΔE to the lowest computed polymorph, eV/atom: 0.000

a = 4.9343 Å, b = 4.9343 Å, c = 4.7696 Å
α = 90.00°, β = 90.00°, γ = 90.00°
Last column: nearest neighbours and their distance in Å.
Atoms (fractional coordinates):
1 Te 0.0000 0.0000 0.0000  8 As 3.43, 4 Se 3.49
2 As 0.0000 0.5000 0.5000  2 S 2.47
3 As 0.5000 0.0000 0.5000  2 S 2.47
4 Se 0.5000 0.5000 0.0000  2 S 2.38
5 S 0.5000 0.5000 0.5000  2 Se 2.38, 4 As 2.47

---

Record 6
Crystalline TeAsSe2S at its relaxed geometry, computed with PBE.

## Properties
DOS at the Fermi energy, states/eV/f.u.: 3.9
Space group: P4/mmm, No. 123
Magnetic moment, μB per formula unit: 0.0
Electronic total energy, eV per atom: -3.18
ΔE to the lowest computed polymorph, eV/atom: 0.000

a = 4.8588 Å, b = 4.8588 Å, c = 4.9575 Å
α = 90.00°, β = 90.00°, γ = 90.00°
Last column: nearest neighbours and their distance in Å.
Atoms (fractional coordinates):
1 Te 0.0000 0.0000 0.0000  4 As 3.44, 8 Se 3.47
2 As 0.5000 0.5000 0.0000  2 S 2.48
3 Se 0.0000 0.5000 0.5000  2 S 2.43
4 Se 0.5000 0.0000 0.5000  2 S 2.43
5 S 0.5000 0.5000 0.5000  4 Se 2.43, 2 As 2.48

---

Record 7
Crystalline TeAsSe2S at its relaxed geometry, computed with PBE.

## Properties
DOS at the Fermi energy, states/eV/f.u.: 4.3
Space group: P4/mmm, No. 123
Magnetic moment, μB per formula unit: 0.9
Electronic total energy, eV per atom: -2.70
ΔE to the lowest computed polymorph, eV/atom: 0.485

a = 5.3053 Å, b = 5.3053 Å, c = 5.5214 Å
α = 90.00°, β = 90.00°, γ = 90.00°
Last column: nearest neighbours and their distance in Å.
Atoms (fractional coordinates):
1 Te 0.0000 0.0000 0.0000  4 Se 2.65, 2 As 2.76
2 As 0.0000 0.0000 0.5000  2 Te 2.76
3 Se 0.0000 0.5000 0.0000  2 Te 2.65
4 Se 0.5000 0.0000 0.0000  2 Te 2.65
5 S 0.5000 0.5000 0.5000  4 As 3.75, 8 Se 3.83

---

Record 8
Crystalline TeAs2SeS at its relaxed geometry, computed with PBE.

## Properties
DOS at the Fermi energy, states/eV/f.u.: 5.7
Space group: P4/mmm, No. 123
Magnetic moment, μB per formula unit: 0.2
Electronic total energy, eV per atom: -2.79
ΔE to the lowest computed polymorph, eV/atom: 0.592

a = 5.4121 Å, b = 5.4121 Å, c = 5.2387 Å
α = 90.00°, β = 90.00°, γ = 90.00°
Last column: nearest neighbours and their distance in Å.
Atoms (fractional coordinates):
1 Te 0.0000 0.0000 0.0000  2 Se 2.62, 4 As 2.71
2 As 0.0000 0.5000 0.0000  2 Te 2.71
3 As 0.5000 0.0000 0.0000  2 Te 2.71
4 Se 0.0000 0.0000 0.5000  2 Te 2.62
5 S 0.5000 0.5000 0.5000  8 As 3.77, 4 Se 3.83

---

Record 9
Crystalline Th8As3Se4S at its relaxed geometry, computed with PBE.

## Properties
DOS at the Fermi energy, states/eV/f.u.: 8.4
Space group: R-3m, No. 166
Magnetic moment, μB per formula unit: 0.0
Electronic total energy, eV per atom: -7.25

a = 8.4166 Å, b = 8.4166 Å, c = 8.4166 Å
α = 59.93°, β = 59.93°, γ = 59.93°
Last column: nearest neighbours and their distance in Å.
Atoms (fractional coordinates):
1 Th 0.2486 0.2486 0.2486  3 As 2.96, 3 Se 2.99
2 Th 0.2552 0.7420 0.7420  1 S 2.88, 2 As 2.96, 3 Se 2.99-3.07
3 Th 0.2580 0.2580 0.7448  1 S 2.88, 2 As 2.96, 3 Se 2.99-3.07
4 Th 0.2580 0.7448 0.2580  1 S 2.88, 2 As 2.96, 3 Se 2.99-3.07
5 Th 0.7420 0.2552 0.7420  1 S 2.88, 2 As 2.96, 3 Se 2.99-3.07
6 Th 0.7420 0.7420 0.2552  1 S 2.88, 2 As 2.96, 3 Se 2.99-3.07
7 Th 0.7448 0.2580 0.2580  1 S 2.88, 2 As 2.96, 3 Se 2.99-3.07
8 Th 0.7514 0.7514 0.7514  3 As 2.96, 3 Se 2.99
9 As 0.0000 0.0000 0.5000  6 Th 2.96
10 As 0.0000 0.5000 0.0000  6 Th 2.96
11 As 0.5000 0.0000 0.0000  6 Th 2.96
12 Se 0.0000 0.0000 0.0000  6 Th 3.07
13 Se 0.0000 0.5000 0.5000  6 Th 2.99
14 Se 0.5000 0.0000 0.5000  6 Th 2.99
15 Se 0.5000 0.5000 0.0000  6 Th 2.99
16 S 0.5000 0.5000 0.5000  6 Th 2.88

---

Record 10
Crystalline Th4AsSeS2 at its relaxed geometry, computed with PBE.

## Properties
DOS at the Fermi energy, states/eV/f.u.: 4.0
Space group: I4/mmm, No. 139
Magnetic moment, μB per formula unit: 0.0
Electronic total energy, eV per atom: -7.40

a = 5.8596 Å, b = 5.8596 Å, c = 11.7114 Å
α = 90.00°, β = 90.00°, γ = 90.00°
Last column: nearest neighbours and their distance in Å.
Atoms (fractional coordinates):
1 Th 0.0000 0.0000 0.2486  1 As 2.91, 4 S 2.93, 1 Se 2.94
2 Th 0.0000 0.0000 0.7514  1 As 2.91, 4 S 2.93, 1 Se 2.94
3 Th 0.0000 0.5000 0.0000  2 S 2.93, 2 As 2.93, 2 Se 2.93
4 Th 0.0000 0.5000 0.5000  2 S 2.93, 2 As 2.93, 2 Se 2.93
5 Th 0.5000 0.0000 0.0000  2 S 2.93, 2 As 2.93, 2 Se 2.93
6 Th 0.5000 0.0000 0.5000  2 S 2.93, 2 As 2.93, 2 Se 2.93
7 Th 0.5000 0.5000 0.2514  1 As 2.91, 4 S 2.93, 1 Se 2.94
8 Th 0.5000 0.5000 0.7486  1 As 2.91, 4 S 2.93, 1 Se 2.94
9 As 0.0000 0.0000 0.0000  6 Th 2.91-2.93
10 As 0.5000 0.5000 0.5000  6 Th 2.91-2.93
11 Se 0.0000 0.0000 0.5000  6 Th 2.93-2.94
12 Se 0.5000 0.5000 0.0000  6 Th 2.93-2.94
13 S 0.0000 0.5000 0.2500  6 Th 2.93
14 S 0.0000 0.5000 0.7500  6 Th 2.93
15 S 0.5000 0.0000 0.2500  6 Th 2.93
16 S 0.5000 0.0000 0.7500  6 Th 2.93